No. 1
The following is a DFT calculation (SCAN) of a PBEsol-optimized structure of TaNi2P.

Output
- Energy of formation: -1.1 eV per formula unit
- SG: Immm, No. 71

a b c (Å): 2.9227 4.0798 8.3241
angles (deg): 90.00 90.00 90.00
Positions (direct):
Ta: 0.0000 0.0000 0.0000
Ta: 0.5000 0.5000 0.5000
Ni: 0.0000 0.5000 0.2196
Ni: 0.0000 0.5000 0.7804
Ni: 0.5000 0.0000 0.2804
Ni: 0.5000 0.0000 0.7196
P: 0.0000 0.0000 0.5000
P: 0.5000 0.5000 0.0000

=====

No. 2
The following is a DFT calculation (SCAN) of a PBEsol-optimized structure of ReN.

Output
- Uncorrected formation energy: 0.0539 eV/atom
- SG: Pm-3m, No. 221

a b c (Å): 4.0368 4.0368 4.0368
angles (deg): 90.00 90.00 90.00
Positions (direct):
Re: 0.0000 0.0000 0.5000
Re: 0.0000 0.5000 0.0000
Re: 0.5000 0.0000 0.0000
N: 0.0000 0.5000 0.5000
N: 0.5000 0.0000 0.5000
N: 0.5000 0.5000 0.0000

=====

No. 3
The following is a DFT calculation (SCAN) of a PBEsol-optimized structure of CsSrLi2La.

Output
- Energy of formation: 3.5 eV per formula unit
- SG: P4/mmm, No. 123

a b c (Å): 5.6009 5.6009 6.0072
angles (deg): 90.00 90.00 90.00
Positions (direct):
Cs: 0.0000 0.0000 0.0000
Sr: 0.5000 0.5000 0.5000
Li: 0.0000 0.5000 0.0000
Li: 0.5000 0.0000 0.0000
La: 0.0000 0.0000 0.5000

=====

Table of total energy (eV per atom), in record order: -27.62; -40.14; -20.89